1.
Material: AsPtO2F
Method: DFT, PBE
State: relaxed

Summary:
- Fermi-level density of states: 3.3 states/eV per cell
- Symmetry: P4/mmm
- Energy relative to the elements, uncorrected: -80 meV/atom
- ρ: 8.37 g/cm³
- Uncorrected energy: -4.58 eV per atom

Cell lengths 3.982, 3.982, 4.014 Å; angles 90.00, 90.00, 90.00 degrees
Fractional positions:
As (0.000, 0.000, 0.000)
Pt (0.500, 0.500, 0.500)
O (0.000, 0.500, 0.000)
O (0.500, 0.000, 0.000)
F (0.000, 0.000, 0.500)

2.
Material: AsPtOF2
Method: DFT, PBE
State: relaxed

Summary:
- Energy above the lowest structure with this stoichiometry: 0 meV per atom
- Fermi-level density of states: 3.4 states/eV per cell
- Symmetry: P4/mmm
- Energy relative to the elements, uncorrected: -337 meV/atom
- ρ: 7.63 g/cm³
- Uncorrected energy: -4.22 eV per atom

Cell lengths 4.171, 4.171, 4.055 Å; angles 90.00, 90.00, 90.00 degrees
Fractional positions:
As (0.000, 0.000, 0.000)
Pt (0.500, 0.500, 0.500)
O (0.000, 0.000, 0.500)
F (0.000, 0.500, 0.000)
F (0.500, 0.000, 0.000)

3.
Material: AsPtO2F
Method: DFT, PBE
State: relaxed

Summary:
- Fermi-level density of states: 3.3 states/eV per cell
- Symmetry: P4/mmm
- Energy relative to the elements, uncorrected: 69 meV/atom
- ρ: 7.80 g/cm³
- Uncorrected energy: -4.43 eV per atom

Cell lengths 4.049, 4.049, 4.167 Å; angles 90.00, 90.00, 90.00 degrees
Fractional positions:
As (0.000, 0.000, 0.000)
Pt (0.500, 0.500, 0.500)
O (0.000, 0.500, 0.500)
O (0.500, 0.000, 0.500)
F (0.500, 0.500, 0.000)

Which of these has the highest uncorrected energy?
AsPtOF2